This record from Alexandria via LeMat-Bulk describes crystalline InCuBr at its relaxed geometry. The functional is PBE.

Results
energy relative to the elements, uncorrected	0.022	eV per atom
energy above the most stable polymorph in this dataset	41	kJ/mol of formula units
volume	68.3	Å³/cell
density of states at the Fermi level	0.77	states/eV/f.u.
calculated density	6.28	g/cm3

a = 6.2792 Å, b = 6.2792 Å, c = 6.2792 Å
α = 148.26°, β = 148.26°, γ = 45.51°
Element x y z (fractional)
In1 0.0000 0.0000 0.0000
Cu1 0.6287 0.6287 0.0000
Br1 0.2663 0.2663 0.0000